(1)
Density functional theory data (PBE) for Tb7TlRh2 after structural relaxation.

Results
E_tot = -5.1819 eV/atom
E_form = -233.8 meV/atom
N(E_F) = 9.30 states/eV/cell

Cell lengths 8.1932, 8.1932, 5.2104 Å; angles 90.00, 90.00, 113.73 degrees
Closest atoms and distances in Å follow each position.
Fractional coordinates of all 10 atoms:
1 Tb 0.0000 0.0000 0.0000  2 Rh 2.79
2 Tb 0.1864 0.4440 0.0000  2 Rh 2.83-3.00
3 Tb 0.2091 0.7909 0.5000  2 Rh 2.61
4 Tb 0.4440 0.1864 0.0000  2 Rh 2.83-3.00
5 Tb 0.5560 0.8136 0.0000  2 Rh 2.83-3.00
6 Tb 0.7909 0.2091 0.5000  2 Rh 2.61
7 Tb 0.8136 0.5560 0.0000  2 Rh 2.83-3.00
8 Tl 0.5000 0.5000 0.5000  8 Tb 3.56
9 Rh 0.2037 0.7963 0.0000  5 Tb 2.61-2.83
10 Rh 0.7963 0.2037 0.0000  5 Tb 2.61-2.83

(2)
Density functional theory data (PBE) for Tb2TlRh3 after structural relaxation.

Results
E_tot = -5.9503 eV/atom
E_form = -336.8 meV/atom
N(E_F) = 6.80 states/eV/cell

Cell lengths 4.7046, 5.4940, 9.7537 Å; angles 90.00, 90.00, 90.00 degrees
Closest atoms and distances in Å follow each position.
Fractional coordinates of all 12 atoms:
1 Tb 0.0000 0.0000 0.1786  6 Rh 2.76-2.93
2 Tb 0.0000 0.0000 0.8214  6 Rh 2.76-2.93
3 Tb 0.5000 0.5000 0.3214  6 Rh 2.76-2.93
4 Tb 0.5000 0.5000 0.6786  6 Rh 2.76-2.93
5 Tl 0.0000 0.0000 0.5000  6 Rh 2.75-2.76
6 Tl 0.5000 0.5000 0.0000  6 Rh 2.75-2.76
7 Rh 0.0000 0.5000 0.1482  2 Tl 2.76, 4 Tb 2.76-2.90, 1 Rh 2.89
8 Rh 0.0000 0.5000 0.5000  2 Tl 2.75, 4 Tb 2.93
9 Rh 0.0000 0.5000 0.8518  2 Tl 2.76, 4 Tb 2.76-2.90, 1 Rh 2.89
10 Rh 0.5000 0.0000 0.0000  2 Tl 2.75, 4 Tb 2.93
11 Rh 0.5000 0.0000 0.3518  2 Tl 2.76, 4 Tb 2.76-2.90, 1 Rh 2.89
12 Rh 0.5000 0.0000 0.6482  2 Tl 2.76, 4 Tb 2.76-2.90, 1 Rh 2.89

(3)
Density functional theory data (PBE) for Tb2TlRh after structural relaxation.

Results
E_tot = -5.2744 eV/atom
E_form = -529.9 meV/atom
N(E_F) = 6.60 states/eV/cell

Cell lengths 3.9013, 3.9013, 24.4951 Å; angles 90.00, 90.00, 120.00 degrees
Closest atoms and distances in Å follow each position.
Fractional coordinates of all 12 atoms:
1 Tb 0.0000 0.0000 0.2331  3 Rh 2.78
2 Tb 0.0000 0.0000 0.7669  3 Rh 2.78
3 Tb 0.3333 0.6667 0.4336  3 Rh 2.78
4 Tb 0.3333 0.6667 0.8997  3 Rh 2.78
5 Tb 0.6667 0.3333 0.1003  3 Rh 2.78
6 Tb 0.6667 0.3333 0.5664  3 Rh 2.78
7 Tl 0.0000 0.0000 0.0000  6 Tb 3.33
8 Tl 0.3333 0.6667 0.6667  6 Tb 3.33
9 Tl 0.6667 0.3333 0.3333  6 Tb 3.33
10 Rh 0.0000 0.0000 0.5000  6 Tb 2.78
11 Rh 0.3333 0.6667 0.1667  6 Tb 2.78
12 Rh 0.6667 0.3333 0.8333  6 Tb 2.78

(4)
Density functional theory data (PBE) for TbTlRh after structural relaxation.

Results
E_tot = -5.2407 eV/atom
E_form = -458.0 meV/atom
N(E_F) = 4.97 states/eV/cell

Cell lengths 6.6601, 6.6601, 6.6601 Å; angles 90.00, 90.00, 90.00 degrees
Closest atoms and distances in Å follow each position.
Fractional coordinates of all 12 atoms:
1 Tb 0.0000 0.0000 0.0000  4 Rh 2.88
2 Tb 0.0000 0.5000 0.5000  4 Rh 2.88
3 Tb 0.5000 0.0000 0.5000  4 Rh 2.88
4 Tb 0.5000 0.5000 0.0000  4 Rh 2.88
5 Tl 0.0000 0.0000 0.5000  4 Rh 2.88
6 Tl 0.0000 0.5000 0.0000  4 Rh 2.88
7 Tl 0.5000 0.0000 0.0000  4 Rh 2.88
8 Tl 0.5000 0.5000 0.5000  4 Rh 2.88
9 Rh 0.2500 0.2500 0.2500  4 Tb 2.88, 4 Tl 2.88
10 Rh 0.2500 0.7500 0.7500  4 Tl 2.88, 4 Tb 2.88
11 Rh 0.7500 0.2500 0.7500  4 Tl 2.88, 4 Tb 2.88
12 Rh 0.7500 0.7500 0.2500  4 Tl 2.88, 4 Tb 2.88

(5)
Density functional theory data (PBE) for Tb6TlRh5 after structural relaxation.

Results
E_tot = -6.2909 eV/atom
E_form = -715.5 meV/atom
N(E_F) = 8.33 states/eV/cell

Cell lengths 8.5421, 8.5421, 8.5421 Å; angles 146.71, 130.30, 61.14 degrees
Closest atoms and distances in Å follow each position.
Fractional coordinates of all 12 atoms:
1 Tb 0.0683 0.3275 0.7408  7 Rh 2.95-3.08, 1 Tl 3.15
2 Tb 0.2308 0.0000 0.2308  6 Rh 2.96-3.10, 2 Tl 3.12
3 Tb 0.4133 0.6725 0.7408  7 Rh 2.95-3.08, 1 Tl 3.15
4 Tb 0.5867 0.3275 0.2592  7 Rh 2.95-3.08, 1 Tl 3.15
5 Tb 0.7692 0.0000 0.7692  6 Rh 2.96-3.10, 2 Tl 3.12
6 Tb 0.9317 0.6725 0.2592  7 Rh 2.95-3.08, 1 Tl 3.15
7 Tl 0.5000 0.5000 0.0000  8 Tb 3.12-3.15, 4 Rh 3.45
8 Rh 0.0000 0.5000 0.5000  8 Tb 2.96-3.07
9 Rh 0.1678 0.1678 0.0000  8 Tb 2.97-3.00
10 Rh 0.3350 0.8350 0.5000  8 Tb 2.95-3.10
11 Rh 0.6650 0.1650 0.5000  8 Tb 2.95-3.10
12 Rh 0.8322 0.8322 0.0000  8 Tb 2.97-3.00

(6)
Density functional theory data (PBE) for Tb7TlRh4 after structural relaxation.

Results
E_tot = -5.7834 eV/atom
E_form = -434.7 meV/atom
N(E_F) = 8.24 states/eV/cell

Cell lengths 7.3127, 7.3127, 9.6465 Å; angles 121.98, 121.98, 44.85 degrees
Closest atoms and distances in Å follow each position.
Fractional coordinates of all 12 atoms:
1 Tb 0.0000 0.0000 0.0000  4 Rh 2.76-2.84, 2 Tl 2.79
2 Tb 0.1775 0.1775 0.6258  1 Rh 2.63
3 Tb 0.2898 0.2898 0.1210  4 Rh 2.94-3.22, 1 Tb 3.18
4 Tb 0.4241 0.4241 0.6243  1 Rh 2.64
5 Tb 0.5759 0.5759 0.3757  1 Rh 2.64
6 Tb 0.7102 0.7102 0.8790  4 Rh 2.94-3.22, 1 Tb 3.18
7 Tb 0.8225 0.8225 0.3742  1 Rh 2.63
8 Tl 0.5000 0.5000 0.0000  2 Tb 2.79
9 Rh 0.0661 0.0661 0.7767  2 Tb 2.63-2.76
10 Rh 0.2035 0.2035 0.3424  3 Tb 2.64-2.95
11 Rh 0.7965 0.7965 0.6576  3 Tb 2.64-2.95
12 Rh 0.9339 0.9339 0.2233  2 Tb 2.63-2.76

(7)
Density functional theory data (PBE) for Tb3TlRh4 after structural relaxation.

Results
E_tot = -6.3831 eV/atom
E_form = -675.3 meV/atom
N(E_F) = 4.24 states/eV/cell

Cell lengths 4.7681, 4.7681, 6.9019 Å; angles 90.00, 90.00, 90.00 degrees
Closest atoms and distances in Å follow each position.
Fractional coordinates of all 8 atoms:
1 Tb 0.0000 0.0000 0.0000  8 Rh 2.93
2 Tb 0.0000 0.0000 0.5000  8 Rh 2.96
3 Tb 0.5000 0.5000 0.0000  8 Rh 2.93
4 Tl 0.5000 0.5000 0.5000  8 Rh 2.96
5 Rh 0.0000 0.5000 0.2459  6 Tb 2.93-2.96, 2 Tl 2.96
6 Rh 0.0000 0.5000 0.7541  6 Tb 2.93-2.96, 2 Tl 2.96
7 Rh 0.5000 0.0000 0.2459  6 Tb 2.93-2.96, 2 Tl 2.96
8 Rh 0.5000 0.0000 0.7541  6 Tb 2.93-2.96, 2 Tl 2.96

(8)
Density functional theory data (PBE) for Tb2TlRh after structural relaxation.

Results
E_tot = -5.2292 eV/atom
E_form = -484.6 meV/atom
N(E_F) = 8.88 states/eV/cell

Cell lengths 7.2651, 7.2651, 7.2651 Å; angles 90.00, 90.00, 90.00 degrees
Closest atoms and distances in Å follow each position.
Fractional coordinates of all 16 atoms:
1 Tb 0.2500 0.2500 0.2500  4 Tl 3.15, 4 Rh 3.15
2 Tb 0.2500 0.2500 0.7500  4 Tl 3.15, 4 Rh 3.15
3 Tb 0.2500 0.7500 0.2500  4 Tl 3.15, 4 Rh 3.15
4 Tb 0.2500 0.7500 0.7500  4 Tl 3.15, 4 Rh 3.15
5 Tb 0.7500 0.2500 0.2500  4 Tl 3.15, 4 Rh 3.15
6 Tb 0.7500 0.2500 0.7500  4 Tl 3.15, 4 Rh 3.15
7 Tb 0.7500 0.7500 0.2500  4 Tl 3.15, 4 Rh 3.15
8 Tb 0.7500 0.7500 0.7500  4 Rh 3.15, 4 Tl 3.15
9 Tl 0.0000 0.0000 0.0000  8 Tb 3.15
10 Tl 0.0000 0.5000 0.5000  8 Tb 3.15
11 Tl 0.5000 0.0000 0.5000  8 Tb 3.15
12 Tl 0.5000 0.5000 0.0000  8 Tb 3.15
13 Rh 0.0000 0.0000 0.5000  8 Tb 3.15
14 Rh 0.0000 0.5000 0.0000  8 Tb 3.15
15 Rh 0.5000 0.0000 0.0000  8 Tb 3.15
16 Rh 0.5000 0.5000 0.5000  8 Tb 3.15

Copy entry 1 word for word.
Density functional theory data (PBE) for Tb7TlRh2 after structural relaxation.

Results
E_tot = -5.1819 eV/atom
E_form = -233.8 meV/atom
N(E_F) = 9.30 states/eV/cell

Cell lengths 8.1932, 8.1932, 5.2104 Å; angles 90.00, 90.00, 113.73 degrees
Closest atoms and distances in Å follow each position.
Fractional coordinates of all 10 atoms:
1 Tb 0.0000 0.0000 0.0000  2 Rh 2.79
2 Tb 0.1864 0.4440 0.0000  2 Rh 2.83-3.00
3 Tb 0.2091 0.7909 0.5000  2 Rh 2.61
4 Tb 0.4440 0.1864 0.0000  2 Rh 2.83-3.00
5 Tb 0.5560 0.8136 0.0000  2 Rh 2.83-3.00
6 Tb 0.7909 0.2091 0.5000  2 Rh 2.61
7 Tb 0.8136 0.5560 0.0000  2 Rh 2.83-3.00
8 Tl 0.5000 0.5000 0.5000  8 Tb 3.56
9 Rh 0.2037 0.7963 0.0000  5 Tb 2.61-2.83
10 Rh 0.7963 0.2037 0.0000  5 Tb 2.61-2.83

Question: Number 3 is which compound?
Answer: Tb2TlRh

Repeat the second record exactly.
Density functional theory data (PBE) for Tb2TlRh3 after structural relaxation.

Results
E_tot = -5.9503 eV/atom
E_form = -336.8 meV/atom
N(E_F) = 6.80 states/eV/cell

Cell lengths 4.7046, 5.4940, 9.7537 Å; angles 90.00, 90.00, 90.00 degrees
Closest atoms and distances in Å follow each position.
Fractional coordinates of all 12 atoms:
1 Tb 0.0000 0.0000 0.1786  6 Rh 2.76-2.93
2 Tb 0.0000 0.0000 0.8214  6 Rh 2.76-2.93
3 Tb 0.5000 0.5000 0.3214  6 Rh 2.76-2.93
4 Tb 0.5000 0.5000 0.6786  6 Rh 2.76-2.93
5 Tl 0.0000 0.0000 0.5000  6 Rh 2.75-2.76
6 Tl 0.5000 0.5000 0.0000  6 Rh 2.75-2.76
7 Rh 0.0000 0.5000 0.1482  2 Tl 2.76, 4 Tb 2.76-2.90, 1 Rh 2.89
8 Rh 0.0000 0.5000 0.5000  2 Tl 2.75, 4 Tb 2.93
9 Rh 0.0000 0.5000 0.8518  2 Tl 2.76, 4 Tb 2.76-2.90, 1 Rh 2.89
10 Rh 0.5000 0.0000 0.0000  2 Tl 2.75, 4 Tb 2.93
11 Rh 0.5000 0.0000 0.3518  2 Tl 2.76, 4 Tb 2.76-2.90, 1 Rh 2.89
12 Rh 0.5000 0.0000 0.6482  2 Tl 2.76, 4 Tb 2.76-2.90, 1 Rh 2.89